Record 1
This record from Alexandria describes a relaxed CsHf2BeBi crystal. The functional is PBE-GGA. Values from VASP.

```
&SYSTEM
  ibrav = 0, nat = 5, ntyp = 4
/
ATOMIC_SPECIES
Cs 132.91 Cs.upf
Be 9.01 Be.upf
Hf 178.49 Hf.upf
Bi 208.98 Bi.upf
CELL_PARAMETERS angstrom
-4.906 0.706 -0.941
-1.168 -4.258 2.895
-0.372 2.898 4.113
ATOMIC_POSITIONS crystal
Cs 0.000 0.500 0.000
Be 0.000 0.000 0.000
Hf 0.000 0.000 0.500
Hf 0.500 0.000 0.000
Bi 0.500 0.500 0.500
```

Computed properties:
Total DFT energy (no corrections) ... -4.716 eV/atom
N(E_F) ... 3.81 states/eV per cell
Space-group type ... P4/mmm

Record 2
This record from Alexandria describes a relaxed CaLa2P crystal. The functional is PBE-GGA. Values from VASP.

```
&SYSTEM
  ibrav = 0, nat = 4, ntyp = 3
/
ATOMIC_SPECIES
Ca 40.08 Ca.upf
La 138.91 La.upf
P 30.97 P.upf
CELL_PARAMETERS angstrom
-6.050 -4.257 -1.975
-3.549 -4.938 -4.653
0.637 -4.527 1.746
ATOMIC_POSITIONS crystal
Ca 0.831 0.831 0.670
La 0.005 0.005 0.995
La 0.166 0.166 0.334
P 0.498 0.498 0.502
```

Computed properties:
Total DFT energy (no corrections) ... -4.875 eV/atom
N(E_F) ... 5.47 states/eV per cell
Space-group type ... Imm2

> What is the N(E_F) in the second record?

5.47 states/eV per cell